Entry 1:
Here is a crystal of Tl2TcMo relaxed with PBEsol from Alexandria via LeMat-Bulk. Energies are from meta-GGA SCAN.

a = 4.118 Å, b = 4.118 Å, c = 8.476 Å
α = 90.00°, β = 90.00°, γ = 90.00°
Fractional positions:
Tl 0.000 0.000 0.000
Tl 0.000 0.500 0.250
Tl 0.500 0.000 0.750
Tl 0.500 0.500 0.500
Tc 0.000 0.500 0.750
Tc 0.500 0.000 0.250
Mo 0.000 0.000 0.500
Mo 0.500 0.500 0.000

Output
- energy above the most stable polymorph in this dataset (meV/atom) = 52
- formation enthalpy at 0 K (eV per atom) = 0.95
- SG = I-4m2 (119)

Entry 2:
Here is a crystal of GaFe2AgSn relaxed with PBEsol from Alexandria via LeMat-Bulk. Energies are from meta-GGA SCAN.

a = 4.437 Å, b = 4.437 Å, c = 5.021 Å
α = 90.00°, β = 90.00°, γ = 90.00°
Fractional positions:
Ga 0.000 0.000 0.000
Fe 0.000 0.500 0.000
Fe 0.500 0.000 0.000
Ag 0.500 0.500 0.500
Sn 0.000 0.000 0.500

Output
- formation enthalpy at 0 K (eV per atom) = 0.96
- SG = P4/mmm (123)

Entry 3:
Here is a crystal of Ge2Bi2Te5 relaxed with PBEsol from Alexandria via LeMat-Bulk. Energies are from meta-GGA SCAN.

a = 4.254 Å, b = 4.254 Å, c = 17.263 Å
α = 90.00°, β = 90.00°, γ = 120.00°
Fractional positions:
Ge 0.000 0.000 0.157
Ge 0.000 0.000 0.843
Bi 0.333 0.667 0.621
Bi 0.667 0.333 0.379
Te 0.000 0.000 0.500
Te 0.333 0.667 0.274
Te 0.333 0.667 0.923
Te 0.667 0.333 0.077
Te 0.667 0.333 0.726

Output
- formation energy without anion corrections (eV per atom) = -0.08
- SG = P-3m1 (164)

Entry 4:
Here is a crystal of Dy4CdSe7 relaxed with PBEsol from Alexandria via LeMat-Bulk. Energies are from meta-GGA SCAN.

a = 6.808 Å, b = 6.808 Å, c = 11.977 Å
α = 104.83°, β = 104.83°, γ = 33.57°
Fractional positions:
Dy 0.000 0.000 0.000
Dy 0.387 0.387 0.600
Dy 0.591 0.591 0.381
Dy 0.695 0.695 0.815
Cd 0.822 0.822 0.232
Se 0.034 0.034 0.756
Se 0.230 0.230 0.345
Se 0.357 0.357 0.855
Se 0.446 0.446 0.158
Se 0.663 0.663 0.033
Se 0.734 0.734 0.599
Se 0.967 0.967 0.457

Output
- formation energy without anion corrections (eV per atom) = -1.83
- SG = Cm (8)

Entry 5:
Here is a crystal of KBi2As2 relaxed with PBEsol from Alexandria via LeMat-Bulk. Energies are from meta-GGA SCAN.

a = 5.427 Å, b = 5.427 Å, c = 10.724 Å
α = 90.00°, β = 90.00°, γ = 90.00°
Fractional positions:
K 0.000 0.000 0.000
K 0.500 0.500 0.500
Bi 0.000 0.000 0.346
Bi 0.000 0.000 0.654
Bi 0.500 0.500 0.154
Bi 0.500 0.500 0.846
As 0.000 0.500 0.250
As 0.000 0.500 0.750
As 0.500 0.000 0.250
As 0.500 0.000 0.750

Output
- formation enthalpy at 0 K (eV per atom) = -0.16
- SG = I4/mmm (139)

Entry 6:
Here is a crystal of ScFe2ReW relaxed with PBEsol from Alexandria via LeMat-Bulk. Energies are from meta-GGA SCAN.

a = 4.393 Å, b = 4.393 Å, c = 4.733 Å
α = 90.00°, β = 90.00°, γ = 90.00°
Fractional positions:
Sc 0.000 0.000 0.000
Fe 0.000 0.500 0.500
Fe 0.500 0.000 0.500
Re 0.500 0.500 0.000
W 0.500 0.500 0.500

Output
- formation enthalpy at 0 K (eV per atom) = 1.25
- SG = P4/mmm (123)

Entry 7:
Here is a crystal of Li3Zn relaxed with PBEsol from Alexandria via LeMat-Bulk. Energies are from meta-GGA SCAN.

a = 8.034 Å, b = 7.964 Å, c = 3.994 Å
α = 90.00°, β = 90.00°, γ = 90.00°
Fractional positions:
Li 0.000 0.154 0.250
Li 0.000 0.846 0.750
Li 0.248 0.123 0.750
Li 0.248 0.877 0.250
Li 0.252 0.377 0.250
Li 0.252 0.623 0.750
Li 0.500 0.346 0.750
Li 0.500 0.654 0.250
Li 0.748 0.377 0.250
Li 0.748 0.623 0.750
Li 0.752 0.123 0.750
Li 0.752 0.877 0.250
Zn 0.000 0.394 0.750
Zn 0.000 0.606 0.250
Zn 0.500 0.106 0.250
Zn 0.500 0.894 0.750

Output
- formation enthalpy at 0 K (eV per atom) = -0.11
- SG = Cmcm (63)

Entry 8:
Here is a crystal of Na3Al2P3O12 relaxed with PBEsol from Alexandria via LeMat-Bulk. Energies are from meta-GGA SCAN.

a = 10.055 Å, b = 10.055 Å, c = 10.055 Å
α = 109.47°, β = 109.47°, γ = 109.47°
Fractional positions:
Na 0.125 0.250 0.375
Na 0.125 0.375 0.750
Na 0.250 0.375 0.125
Na 0.250 0.875 0.625
Na 0.375 0.125 0.250
Na 0.375 0.750 0.125
Na 0.625 0.250 0.875
Na 0.625 0.875 0.750
Na 0.750 0.125 0.375
Na 0.750 0.625 0.875
Na 0.875 0.625 0.250
Na 0.875 0.750 0.625
Al 0.000 0.000 0.000
Al 0.000 0.000 0.500
Al 0.000 0.500 0.000
Al 0.000 0.500 0.500
Al 0.500 0.000 0.000
Al 0.500 0.000 0.500
Al 0.500 0.500 0.000
Al 0.500 0.500 0.500
P 0.125 0.750 0.875
P 0.125 0.875 0.250
P 0.250 0.125 0.875
P 0.250 0.625 0.375
P 0.375 0.250 0.625
P 0.375 0.625 0.750
P 0.625 0.375 0.250
P 0.625 0.750 0.375
P 0.750 0.375 0.625
P 0.750 0.875 0.125
P 0.875 0.125 0.750
P 0.875 0.250 0.125
O 0.000 0.197 0.110
O 0.000 0.304 0.890
O 0.000 0.696 0.110
O 0.000 0.803 0.890
O 0.086 0.697 0.696
O 0.086 0.890 0.390
O 0.110 0.000 0.197
O 0.110 0.000 0.696
O 0.110 0.610 0.414
O 0.110 0.610 0.914
O 0.196 0.197 0.586
O 0.196 0.500 0.610
O 0.197 0.110 0.000
O 0.197 0.586 0.196
O 0.303 0.304 0.914
O 0.303 0.500 0.390
O 0.304 0.890 0.000
O 0.304 0.914 0.303
O 0.390 0.086 0.890
O 0.390 0.303 0.500
O 0.390 0.586 0.890
O 0.390 0.804 0.500
O 0.414 0.110 0.610
O 0.414 0.804 0.803
O 0.500 0.390 0.303
O 0.500 0.390 0.804
O 0.500 0.610 0.196
O 0.500 0.610 0.697
O 0.586 0.196 0.197
O 0.586 0.890 0.390
O 0.610 0.196 0.500
O 0.610 0.414 0.110
O 0.610 0.697 0.500
O 0.610 0.914 0.110
O 0.696 0.086 0.697
O 0.696 0.110 0.000
O 0.697 0.500 0.610
O 0.697 0.696 0.086
O 0.803 0.414 0.804
O 0.803 0.890 0.000
O 0.804 0.500 0.390
O 0.804 0.803 0.414
O 0.890 0.000 0.304
O 0.890 0.000 0.803
O 0.890 0.390 0.086
O 0.890 0.390 0.586
O 0.914 0.110 0.610
O 0.914 0.303 0.304

Output
- formation energy without anion corrections (eV per atom) = -2.75
- SG = Ia-3d (230)

Entry 9:
Here is a crystal of BeIn2Si relaxed with PBEsol from Alexandria via LeMat-Bulk. Energies are from meta-GGA SCAN.

a = 6.004 Å, b = 7.883 Å, c = 3.201 Å
α = 90.00°, β = 99.36°, γ = 90.00°
Fractional positions:
Be 0.000 0.000 0.000
Be 0.500 0.500 0.000
In 0.250 0.250 0.500
In 0.250 0.750 0.500
In 0.750 0.250 0.500
In 0.750 0.750 0.500
Si 0.000 0.500 0.000
Si 0.500 0.000 0.000

Output
- energy above the most stable polymorph in this dataset (meV/atom) = 200
- formation energy without anion corrections (eV per atom) = 0.62
- SG = C2/m (12)

Entry 10:
Here is a crystal of K2TlCr relaxed with PBEsol from Alexandria via LeMat-Bulk. Energies are from meta-GGA SCAN.

a = 4.907 Å, b = 4.909 Å, c = 12.866 Å
α = 90.00°, β = 90.00°, γ = 90.00°
Fractional positions:
K 0.000 0.000 0.000
K 0.000 0.500 0.500
K 0.500 0.000 0.308
K 0.500 0.500 0.808
Tl 0.000 0.000 0.706
Tl 0.000 0.500 0.206
Cr 0.500 0.000 0.608
Cr 0.500 0.500 0.108

Output
- energy above the most stable polymorph in this dataset (meV/atom) = 0
- formation enthalpy at 0 K (eV per atom) = 0.25
- SG = Amm2 (38)

Entry 11:
Here is a crystal of LiLa2W relaxed with PBEsol from Alexandria via LeMat-Bulk. Energies are from meta-GGA SCAN.

a = 4.393 Å, b = 4.393 Å, c = 9.331 Å
α = 90.00°, β = 90.00°, γ = 90.00°
Fractional positions:
Li 0.000 0.000 0.000
Li 0.500 0.500 0.500
La 0.000 0.000 0.500
La 0.000 0.500 0.750
La 0.500 0.000 0.250
La 0.500 0.500 0.000
W 0.000 0.500 0.250
W 0.500 0.000 0.750

Output
- energy above the most stable polymorph in this dataset (meV/atom) = 57
- formation enthalpy at 0 K (eV per atom) = 0.67
- SG = I-4m2 (119)

Entry 12:
Here is a crystal of SrBePIr2 relaxed with PBEsol from Alexandria via LeMat-Bulk. Energies are from meta-GGA SCAN.

a = 4.321 Å, b = 4.321 Å, c = 4.375 Å
α = 90.00°, β = 90.00°, γ = 90.00°
Fractional positions:
Sr 0.000 0.000 0.000
Be 0.500 0.500 0.500
P 0.500 0.500 0.000
Ir 0.000 0.500 0.500
Ir 0.500 0.000 0.500

Output
- formation enthalpy at 0 K (eV per atom) = 0.14
- SG = P4/mmm (123)